[1]
Material: LiPa2CoN5
Method: DFT, PBE-GGA
State: optimized geometry

Summary:
symmetry = No. 36

abc: 6.785 6.785 9.358
angles: 90.00 90.00 151.08
Atoms (fractional coordinates):
Li: 0.201 0.799 0.500
Li: 0.799 0.201 0.000
Pa: 0.121 0.879 0.181
Pa: 0.141 0.859 0.808
Pa: 0.859 0.141 0.308
Pa: 0.879 0.121 0.681
Co: 0.451 0.549 0.941
Co: 0.549 0.451 0.441
N: 0.033 0.967 0.505
N: 0.293 0.707 0.184
N: 0.325 0.675 0.847
N: 0.355 0.645 0.500
N: 0.493 0.507 0.260
N: 0.507 0.493 0.760
N: 0.645 0.355 0.000
N: 0.675 0.325 0.347
N: 0.707 0.293 0.684
N: 0.967 0.033 0.005

[2]
Material: Li3Pa2CoN6
Method: DFT, PBE-GGA
State: optimized geometry

Summary:
symmetry = No. 12

abc: 5.802 5.802 5.289
angles: 97.83 97.83 122.60
Atoms (fractional coordinates):
Li: 0.000 0.000 0.000
Li: 0.378 0.622 0.000
Li: 0.622 0.378 0.000
Pa: 0.166 0.834 0.500
Pa: 0.834 0.166 0.500
Co: 0.500 0.500 0.500
N: 0.136 0.433 0.286
N: 0.243 0.243 0.719
N: 0.433 0.136 0.286
N: 0.567 0.864 0.714
N: 0.757 0.757 0.281
N: 0.864 0.567 0.714

[3]
Material: Li5CoPbN2
Method: DFT, PBE-GGA
State: optimized geometry

Summary:
symmetry = No. 123

abc: 4.187 4.187 7.552
angles: 90.00 90.00 90.00
Atoms (fractional coordinates):
Li: 0.000 0.000 0.000
Li: 0.000 0.500 0.294
Li: 0.000 0.500 0.706
Li: 0.500 0.000 0.294
Li: 0.500 0.000 0.706
Co: 0.000 0.000 0.500
Pb: 0.500 0.500 0.000
N: 0.000 0.000 0.275
N: 0.000 0.000 0.725

[4]
Material: LiCo2PbN
Method: DFT, PBE-GGA
State: optimized geometry

Summary:
symmetry = No. 123

abc: 3.842 3.842 4.215
angles: 90.00 90.00 90.00
Atoms (fractional coordinates):
Li: 0.000 0.000 0.000
Co: 0.000 0.500 0.500
Co: 0.500 0.000 0.500
Pb: 0.500 0.500 0.000
N: 0.000 0.000 0.500

[5]
Material: Li2CoPbN
Method: DFT, PBE-GGA
State: optimized geometry

Summary:
symmetry = No. 123

abc: 4.323 4.323 3.576
angles: 90.00 90.00 90.00
Atoms (fractional coordinates):
Li: 0.000 0.500 0.000
Li: 0.500 0.000 0.000
Co: 0.000 0.000 0.500
Pb: 0.500 0.500 0.500
N: 0.000 0.000 0.000

[6]
Material: LiCoPd2N
Method: DFT, PBE-GGA
State: optimized geometry

Summary:
symmetry = No. 123

abc: 4.258 4.258 3.533
angles: 90.00 90.00 90.00
Atoms (fractional coordinates):
Li: 0.000 0.000 0.000
Co: 0.500 0.500 0.000
Pd: 0.000 0.500 0.500
Pd: 0.500 0.000 0.500
N: 0.500 0.500 0.500

[7]
Material: LiCo2PtN
Method: DFT, PBE-GGA
State: optimized geometry

Summary:
symmetry = No. 123
E above lowest polymorph = 0.162 eV/atom

abc: 3.732 3.732 4.199
angles: 90.00 90.00 90.00
Atoms (fractional coordinates):
Li: 0.000 0.000 0.000
Co: 0.000 0.500 0.500
Co: 0.500 0.000 0.500
Pt: 0.500 0.500 0.000
N: 0.500 0.500 0.500

[8]
Material: LiCoPt2N
Method: DFT, PBE-GGA
State: optimized geometry

Summary:
symmetry = No. 123

abc: 4.874 4.874 3.300
angles: 90.00 90.00 90.00
Atoms (fractional coordinates):
Li: 0.000 0.000 0.000
Co: 0.500 0.500 0.500
Pt: 0.000 0.500 0.500
Pt: 0.500 0.000 0.500
N: 0.500 0.500 0.000

[9]
Material: LiCo2PtN
Method: DFT, PBE-GGA
State: optimized geometry

Summary:
symmetry = No. 123
E above lowest polymorph = 0.000 eV/atom

abc: 3.680 3.680 4.020
angles: 90.00 90.00 90.00
Atoms (fractional coordinates):
Li: 0.000 0.000 0.000
Co: 0.000 0.500 0.500
Co: 0.500 0.000 0.500
Pt: 0.500 0.500 0.000
N: 0.000 0.000 0.500

[10]
Material: LiCoRh2N
Method: DFT, PBE-GGA
State: optimized geometry

Summary:
symmetry = No. 123

abc: 4.060 4.060 3.683
angles: 90.00 90.00 90.00
Atoms (fractional coordinates):
Li: 0.000 0.000 0.000
Co: 0.500 0.500 0.000
Rh: 0.000 0.500 0.500
Rh: 0.500 0.000 0.500
N: 0.500 0.500 0.500

[11]
Material: LiCo2RhN
Method: DFT, PBE-GGA
State: optimized geometry

Summary:
symmetry = No. 123
E above lowest polymorph = 0.015 eV/atom

abc: 3.677 3.677 3.972
angles: 90.00 90.00 90.00
Atoms (fractional coordinates):
Li: 0.000 0.000 0.000
Co: 0.000 0.500 0.500
Co: 0.500 0.000 0.500
Rh: 0.500 0.500 0.000
N: 0.000 0.000 0.500

[12]
Material: LiCo2RhN
Method: DFT, PBE-GGA
State: optimized geometry

Summary:
symmetry = No. 123
E above lowest polymorph = 0.000 eV/atom

abc: 3.701 3.701 4.080
angles: 90.00 90.00 90.00
Atoms (fractional coordinates):
Li: 0.000 0.000 0.000
Co: 0.000 0.500 0.500
Co: 0.500 0.000 0.500
Rh: 0.500 0.500 0.000
N: 0.500 0.500 0.500

[13]
Material: LiCo2RuN
Method: DFT, PBE-GGA
State: optimized geometry

Summary:
symmetry = No. 123

abc: 3.743 3.743 3.966
angles: 90.00 90.00 90.00
Atoms (fractional coordinates):
Li: 0.000 0.000 0.000
Co: 0.000 0.500 0.500
Co: 0.500 0.000 0.500
Ru: 0.500 0.500 0.000
N: 0.500 0.500 0.500

[14]
Material: LiCoRu2N
Method: DFT, PBE-GGA
State: optimized geometry

Summary:
symmetry = No. 123

abc: 4.002 4.002 3.703
angles: 90.00 90.00 90.00
Atoms (fractional coordinates):
Li: 0.000 0.000 0.000
Co: 0.500 0.500 0.000
Ru: 0.000 0.500 0.500
Ru: 0.500 0.000 0.500
N: 0.500 0.500 0.500

[15]
Material: LiCoS2N
Method: DFT, PBE-GGA
State: optimized geometry

Summary:
symmetry = No. 123
E above lowest polymorph = 0.000 eV/atom

abc: 4.749 4.749 3.354
angles: 90.00 90.00 90.00
Atoms (fractional coordinates):
Li: 0.000 0.000 0.000
Co: 0.500 0.500 0.500
S: 0.000 0.500 0.500
S: 0.500 0.000 0.500
N: 0.500 0.500 0.000

[16]
Material: LiCoS2N
Method: DFT, PBE-GGA
State: optimized geometry

Summary:
symmetry = No. 123
E above lowest polymorph = 1.103 eV/atom

abc: 4.414 4.414 3.434
angles: 90.00 90.00 90.00
Atoms (fractional coordinates):
Li: 0.000 0.000 0.000
Co: 0.500 0.500 0.500
S: 0.000 0.500 0.000
S: 0.500 0.000 0.000
N: 0.000 0.000 0.500

[17]
Material: LiCo2SbN
Method: DFT, PBE-GGA
State: optimized geometry

Summary:
symmetry = No. 123

abc: 3.841 3.841 4.079
angles: 90.00 90.00 90.00
Atoms (fractional coordinates):
Li: 0.000 0.000 0.000
Co: 0.000 0.500 0.500
Co: 0.500 0.000 0.500
Sb: 0.500 0.500 0.000
N: 0.000 0.000 0.500

[18]
Material: Li2CoSnN
Method: DFT, PBE-GGA
State: optimized geometry

Summary:
symmetry = No. 123

abc: 4.239 4.239 3.560
angles: 90.00 90.00 90.00
Atoms (fractional coordinates):
Li: 0.000 0.500 0.000
Li: 0.500 0.000 0.000
Co: 0.000 0.000 0.500
Sn: 0.500 0.500 0.500
N: 0.000 0.000 0.000

[19]
Material: LiCo2SnN
Method: DFT, PBE-GGA
State: optimized geometry

Summary:
symmetry = No. 123

abc: 3.821 3.821 4.039
angles: 90.00 90.00 90.00
Atoms (fractional coordinates):
Li: 0.000 0.000 0.000
Co: 0.000 0.500 0.500
Co: 0.500 0.000 0.500
Sn: 0.500 0.500 0.000
N: 0.000 0.000 0.500

[20]
Material: Sr2LiCoN2
Method: DFT, PBE-GGA
State: optimized geometry

Summary:
symmetry = No. 58
E above lowest polymorph = 0.218 eV/atom

abc: 6.302 8.015 4.286
angles: 90.00 90.00 90.00
Atoms (fractional coordinates):
Sr: 0.117 0.249 0.000
Sr: 0.383 0.749 0.500
Sr: 0.617 0.251 0.500
Sr: 0.883 0.751 0.000
Li: 0.000 0.000 0.500
Li: 0.500 0.500 0.000
Co: 0.000 0.500 0.500
Co: 0.500 0.000 0.000
N: 0.237 0.913 0.000
N: 0.263 0.413 0.500
N: 0.737 0.587 0.500
N: 0.763 0.087 0.000

[21]
Material: Sr2LiCoN2
Method: DFT, PBE-GGA
State: optimized geometry

Summary:
symmetry = No. 136
E above lowest polymorph = 0.000 eV/atom

abc: 5.412 5.412 7.363
angles: 90.00 90.00 90.00
Atoms (fractional coordinates):
Sr: 0.000 0.500 0.250
Sr: 0.000 0.500 0.750
Sr: 0.500 0.000 0.250
Sr: 0.500 0.000 0.750
Li: 0.000 0.000 0.000
Li: 0.500 0.500 0.500
Co: 0.000 0.000 0.500
Co: 0.500 0.500 0.000
N: 0.235 0.235 0.500
N: 0.265 0.735 0.000
N: 0.735 0.265 0.000
N: 0.765 0.765 0.500

[22]
Material: SrLiCoN2
Method: DFT, PBE-GGA
State: optimized geometry

Summary:
symmetry = No. 12

abc: 5.491 5.491 7.087
angles: 99.33 99.33 36.53
Atoms (fractional coordinates):
Sr: 0.146 0.146 0.158
Sr: 0.854 0.854 0.842
Li: 0.182 0.182 0.553
Li: 0.818 0.818 0.447
Co: 0.444 0.444 0.325
Co: 0.556 0.556 0.675
N: 0.106 0.106 0.789
N: 0.380 0.380 0.574
N: 0.620 0.620 0.426
N: 0.894 0.894 0.211

[23]
Material: LiCoTe2N
Method: DFT, PBE-GGA
State: optimized geometry

Summary:
symmetry = No. 123
E above lowest polymorph = 0.000 eV/atom

abc: 5.450 5.450 3.350
angles: 90.00 90.00 90.00
Atoms (fractional coordinates):
Li: 0.000 0.000 0.000
Co: 0.500 0.500 0.500
Te: 0.000 0.500 0.500
Te: 0.500 0.000 0.500
N: 0.500 0.500 0.000

[24]
Material: LiCoTe2N
Method: DFT, PBE-GGA
State: optimized geometry

Summary:
symmetry = No. 123
E above lowest polymorph = 1.064 eV/atom

abc: 5.062 5.062 3.384
angles: 90.00 90.00 90.00
Atoms (fractional coordinates):
Li: 0.000 0.000 0.000
Co: 0.500 0.500 0.500
Te: 0.000 0.500 0.000
Te: 0.500 0.000 0.000
N: 0.000 0.000 0.500

[25]
Material: LiCoTeN2
Method: DFT, PBE-GGA
State: optimized geometry

Summary:
symmetry = No. 123
E above lowest polymorph = 0.000 eV/atom

abc: 3.653 3.653 5.487
angles: 90.00 90.00 90.00
Atoms (fractional coordinates):
Li: 0.000 0.000 0.000
Co: 0.500 0.500 0.500
Te: 0.500 0.500 0.000
N: 0.000 0.500 0.500
N: 0.500 0.000 0.500

[26]
Material: LiCoTeN2
Method: DFT, PBE-GGA
State: optimized geometry

Summary:
symmetry = No. 123
E above lowest polymorph = 1.030 eV/atom

abc: 3.677 3.677 5.152
angles: 90.00 90.00 90.00
Atoms (fractional coordinates):
Li: 0.000 0.000 0.000
Co: 0.500 0.500 0.500
Te: 0.000 0.000 0.500
N: 0.000 0.500 0.000
N: 0.500 0.000 0.000

Number 1: formation energy from raw total energies -86 kJ per mole of atoms, total moment 0.00 μB per formula unit, total energy -8.629 eV per atom. Number 2: formation energy from raw total energies -64 kJ per mole of atoms, total moment 1.76 μB per formula unit, total energy -7.479 eV per atom. Number 3: formation energy from raw total energies -19 kJ per mole of atoms, total moment 0.00 μB per formula unit, total energy -4.317 eV per atom. Number 4: formation energy from raw total energies 0 kJ per mole of atoms, total moment 1.93 μB per formula unit, total energy -5.634 eV per atom. Number 5: formation energy from raw total energies -22 kJ per mole of atoms, total moment 0.00 μB per formula unit, total energy -4.820 eV per atom. Number 6: formation energy from raw total energies -8 kJ per mole of atoms, total moment 0.19 μB per formula unit, total energy -5.627 eV per atom. Number 7: formation energy from raw total energies -1 kJ per mole of atoms, total moment 2.69 μB per formula unit, total energy -6.107 eV per atom. Number 8: formation energy from raw total energies 53 kJ per mole of atoms, total moment 0.72 μB per formula unit, total energy -5.336 eV per atom. Number 9: formation energy from raw total energies -17 kJ per mole of atoms, total moment 2.39 μB per formula unit, total energy -6.269 eV per atom. Number 10: formation energy from raw total energies -4 kJ per mole of atoms, total moment 1.19 μB per formula unit, total energy -6.446 eV per atom. Number 11: formation energy from raw total energies -3 kJ per mole of atoms, total moment 3.23 μB per formula unit, total energy -6.388 eV per atom. Number 12: formation energy from raw total energies -4 kJ per mole of atoms, total moment 1.65 μB per formula unit, total energy -6.404 eV per atom. Number 13: formation energy from raw total energies 3 kJ per mole of atoms, total moment 2.04 μB per formula unit, total energy -6.713 eV per atom. Number 14: formation energy from raw total energies 12 kJ per mole of atoms, total moment 0.00 μB per formula unit, total energy -7.052 eV per atom. Number 15: formation energy from raw total energies 15 kJ per mole of atoms, total moment 0.25 μB per formula unit, total energy -4.968 eV per atom. Number 16: formation energy from raw total energies 121 kJ per mole of atoms, total moment 2.54 μB per formula unit, total energy -3.865 eV per atom. Number 17: formation energy from raw total energies -7 kJ per mole of atoms, total moment 1.87 μB per formula unit, total energy -5.787 eV per atom. Number 18: formation energy from raw total energies -27 kJ per mole of atoms, total moment 0.00 μB per formula unit, total energy -4.927 eV per atom. Number 19: formation energy from raw total energies -12 kJ per mole of atoms, total moment 1.85 μB per formula unit, total energy -5.816 eV per atom. Number 20: formation energy from raw total energies -29 kJ per mole of atoms, total moment 1.99 μB per formula unit, total energy -5.143 eV per atom. Number 21: formation energy from raw total energies -50 kJ per mole of atoms, total moment 1.99 μB per formula unit, total energy -5.361 eV per atom. Number 22: formation energy from raw total energies -25 kJ per mole of atoms, total moment 0.00 μB per formula unit, total energy -5.730 eV per atom. Number 23: formation energy from raw total energies -2 kJ per mole of atoms, total moment 0.00 μB per formula unit, total energy -4.742 eV per atom. Number 24: formation energy from raw total energies 101 kJ per mole of atoms, total moment 1.94 μB per formula unit, total energy -3.678 eV per atom. Number 25: formation energy from raw total energies 71 kJ per mole of atoms, total moment 0.01 μB per formula unit, total energy -5.022 eV per atom. Number 26: formation energy from raw total energies 171 kJ per mole of atoms, total moment 2.62 μB per formula unit, total energy -3.993 eV per atom.